# Sr2InPt2 (GGA-PBEsol, optimized geometry)
# raw total energy = -49.06 eV for the cell shown
# ΔH_f (0 K) = -3.94 eV per formula unit
data_Sr2InPt2
_cell_length_a 5.900
_cell_length_b 5.900
_cell_length_c 8.278
_cell_angle_alpha 78.45
_cell_angle_beta 78.45
_cell_angle_gamma 60.44
_space_group_name_H-M_alt 'P 1'
_space_group_IT_number 1
_space_group_name_Hall 'P 1'
loop_
_atom_site_label
_atom_site_type_symbol
_atom_site_fract_x
_atom_site_fract_y
_atom_site_fract_z
Sr1 Sr 0.790 0.505 0.853
Sr2 Sr 0.505 0.790 0.353
Sr3 Sr 0.210 0.495 0.147
Sr4 Sr 0.495 0.210 0.647
In1 In 0.135 0.865 0.750
In2 In 0.865 0.135 0.250
Pt1 Pt 0.275 0.999 0.998
Pt2 Pt 0.999 0.275 0.498
Pt3 Pt 0.725 0.001 0.002
Pt4 Pt 0.001 0.725 0.502

=====

# Sr2TaInPt (GGA-PBEsol, optimized geometry)
# raw total energy = -24.80 eV for the cell shown
# ΔH_f (0 K) = 1.37 eV per formula unit
data_Sr2TaInPt
_cell_length_a 4.860
_cell_length_b 5.779
_cell_length_c 5.779
_cell_angle_alpha 90.00
_cell_angle_beta 90.00
_cell_angle_gamma 90.00
_space_group_name_H-M_alt 'P 1'
_space_group_IT_number 1
_space_group_name_Hall 'P 1'
loop_
_atom_site_label
_atom_site_type_symbol
_atom_site_fract_x
_atom_site_fract_y
_atom_site_fract_z
Ta1 Ta 0.500 0.000 0.000
In1 In 0.500 0.500 0.500
Sr1 Sr 0.000 0.000 0.500
Sr2 Sr 0.000 0.500 0.000
Pt1 Pt 0.000 0.000 0.000